No. 1
First-principles (PBE) data for an optimized crystal structure of HfSnI2O, as listed in Alexandria.

a = 5.9209 Å, b = 5.9209 Å, c = 3.9617 Å
α = 90.00°, β = 90.00°, γ = 90.00°
With the nearest neighbours (Å) after each atom.
Atoms (fractional coordinates):
Hf (0.0000, 0.0000, 0.0000)  2 O 1.98
Sn (0.5000, 0.5000, 0.5000)  8 I 3.56, 2 Sn 3.96
I (0.0000, 0.5000, 0.0000)  2 Hf 2.96
I (0.5000, 0.0000, 0.0000)  2 Hf 2.96
O (0.0000, 0.0000, 0.5000)  2 Hf 1.98

Output
Its uncorrected formation energy is -0.89 eV/atom. As for the magnetic moment: 0.000 μB per formula unit. As for the calculated total energy: -5.2895 eV per atom. The calculation puts the polymorph energy (0 for the lowest one) at 0 meV/atom.

No. 2
First-principles (PBE) data for an optimized crystal structure of HfSnI2O, as listed in Alexandria.

a = 6.1433 Å, b = 6.1433 Å, c = 3.9689 Å
α = 90.00°, β = 90.00°, γ = 90.00°
With the nearest neighbours (Å) after each atom.
Atoms (fractional coordinates):
Hf (0.0000, 0.0000, 0.0000)  8 I 3.66, 2 Hf 3.97
Sn (0.5000, 0.5000, 0.5000)  2 O 1.98
I (0.0000, 0.5000, 0.5000)  2 Sn 3.07
I (0.5000, 0.0000, 0.5000)  2 Sn 3.07
O (0.5000, 0.5000, 0.0000)  2 Sn 1.98

Output
Its uncorrected formation energy is 0.21 eV/atom. As for the magnetic moment: 1.776 μB per formula unit. As for the calculated total energy: -4.1908 eV per atom. The calculation puts the polymorph energy (0 for the lowest one) at 1099 meV/atom.

No. 3
First-principles (PBE) data for an optimized crystal structure of SrHf2IO8, as listed in Alexandria.

a = 4.9704 Å, b = 4.9704 Å, c = 6.7492 Å
α = 90.00°, β = 90.00°, γ = 92.11°
With the nearest neighbours (Å) after each atom.
Atoms (fractional coordinates):
Sr (0.0000, 0.0000, 0.0000)  6 O 2.36-2.42
Hf (0.5000, 0.5000, 0.2434)  6 O 2.05-2.28
Hf (0.5000, 0.5000, 0.7566)  6 O 2.05-2.28
I (0.0000, 0.0000, 0.5000)  6 O 1.99-2.09
O (0.2047, 0.2047, 0.2914)  1 I 1.99, 1 Hf 2.06
O (0.2047, 0.2047, 0.7086)  1 I 1.99, 1 Hf 2.06
O (0.2922, 0.7078, 0.5000)  1 I 2.09, 2 Hf 2.28
O (0.3297, 0.6703, 0.0000)  2 Hf 2.05
O (0.6703, 0.3297, 0.0000)  2 Hf 2.05
O (0.7078, 0.2922, 0.5000)  1 I 2.09, 2 Hf 2.28
O (0.7953, 0.7953, 0.2914)  1 I 1.99, 1 Hf 2.06
O (0.7953, 0.7953, 0.7086)  1 I 1.99, 1 Hf 2.06

Output
Its uncorrected formation energy is -2.24 eV/atom. As for the magnetic moment: 0.000 μB per formula unit. As for the calculated total energy: -7.4746 eV per atom.

No. 4
First-principles (PBE) data for an optimized crystal structure of SrHfIO2, as listed in Alexandria.

a = 4.5676 Å, b = 4.5676 Å, c = 5.9944 Å
α = 90.00°, β = 90.00°, γ = 90.00°
With the nearest neighbours (Å) after each atom.
Atoms (fractional coordinates):
Sr (0.0000, 0.0000, 0.0000)  4 O 2.28
Hf (0.5000, 0.5000, 0.5000)  4 I 3.23
I (0.0000, 0.0000, 0.5000)  2 Sr 3.00, 4 Hf 3.23
O (0.0000, 0.5000, 0.0000)  2 Sr 2.28
O (0.5000, 0.0000, 0.0000)  2 Sr 2.28

Output
Its uncorrected formation energy is -0.10 eV/atom. As for the magnetic moment: 0.751 μB per formula unit. As for the calculated total energy: -4.7245 eV per atom. The calculation puts the polymorph energy (0 for the lowest one) at 1776 meV/atom.

No. 5
First-principles (PBE) data for an optimized crystal structure of SrHfIO6, as listed in Alexandria.

a = 5.4952 Å, b = 5.4952 Å, c = 10.7470 Å
α = 90.00°, β = 90.00°, γ = 120.00°
With the nearest neighbours (Å) after each atom.
Atoms (fractional coordinates):
Sr (0.0000, 0.0000, 0.0000)  6 O 2.60
Sr (0.0000, 0.0000, 0.5000)  6 O 2.60
Hf (0.3333, 0.6667, 0.2500)  6 O 2.10
Hf (0.6667, 0.3333, 0.7500)  6 O 2.10
I (0.3333, 0.6667, 0.7500)  6 O 2.02
I (0.6667, 0.3333, 0.2500)  6 O 2.02
O (0.0112, 0.3850, 0.6450)  1 I 2.02, 1 Hf 2.10
O (0.0112, 0.6262, 0.8550)  1 I 2.02, 1 Hf 2.10
O (0.3738, 0.3850, 0.8550)  1 I 2.02, 1 Hf 2.10
O (0.3738, 0.9888, 0.6450)  1 I 2.02, 1 Hf 2.10
O (0.3850, 0.0112, 0.1450)  1 I 2.02, 1 Hf 2.10
O (0.3850, 0.3738, 0.3550)  1 I 2.02, 1 Hf 2.10
O (0.6150, 0.6262, 0.6450)  1 I 2.02, 1 Hf 2.10
O (0.6150, 0.9888, 0.8550)  1 I 2.02, 1 Hf 2.10
O (0.6262, 0.0112, 0.3550)  1 I 2.02, 1 Hf 2.10
O (0.6262, 0.6150, 0.1450)  1 I 2.02, 1 Hf 2.10
O (0.9888, 0.3738, 0.1450)  1 I 2.02, 1 Hf 2.10
O (0.9888, 0.6150, 0.3550)  1 I 2.02, 1 Hf 2.10

Output
Its uncorrected formation energy is -1.98 eV/atom. As for the magnetic moment: 0.000 μB per formula unit. As for the calculated total energy: -6.7481 eV per atom.

No. 6
First-principles (PBE) data for an optimized crystal structure of SrHfIO2, as listed in Alexandria.

a = 4.2483 Å, b = 4.2483 Å, c = 5.9931 Å
α = 90.00°, β = 90.00°, γ = 90.00°
With the nearest neighbours (Å) after each atom.
Atoms (fractional coordinates):
Sr (0.0000, 0.0000, 0.0000)  4 I 3.00
Hf (0.5000, 0.5000, 0.5000)  4 O 2.12
I (0.5000, 0.5000, 0.0000)  2 Hf 3.00, 4 Sr 3.00
O (0.0000, 0.5000, 0.5000)  2 Hf 2.12
O (0.5000, 0.0000, 0.5000)  2 Hf 2.12

Output
Its uncorrected formation energy is -1.88 eV/atom. As for the magnetic moment: 0.000 μB per formula unit. As for the calculated total energy: -6.5003 eV per atom. The calculation puts the polymorph energy (0 for the lowest one) at 0 meV/atom.

No. 7
First-principles (PBE) data for an optimized crystal structure of HfTaIO2, as listed in Alexandria.

a = 4.0625 Å, b = 4.0625 Å, c = 6.1976 Å
α = 90.00°, β = 90.00°, γ = 90.00°
With the nearest neighbours (Å) after each atom.
Atoms (fractional coordinates):
Hf (0.0000, 0.0000, 0.0000)  4 O 2.03
Ta (0.5000, 0.5000, 0.5000)  4 I 2.87
I (0.0000, 0.0000, 0.5000)  4 Ta 2.87, 2 Hf 3.10
O (0.0000, 0.5000, 0.0000)  2 Hf 2.03
O (0.5000, 0.0000, 0.0000)  2 Hf 2.03

Output
Its uncorrected formation energy is -0.69 eV/atom. As for the magnetic moment: 3.420 μB per formula unit. As for the calculated total energy: -7.3433 eV per atom. The calculation puts the polymorph energy (0 for the lowest one) at 0 meV/atom.

No. 8
First-principles (PBE) data for an optimized crystal structure of HfTaI2O, as listed in Alexandria.

a = 5.7650 Å, b = 5.7650 Å, c = 3.8876 Å
α = 90.00°, β = 90.00°, γ = 90.00°
With the nearest neighbours (Å) after each atom.
Atoms (fractional coordinates):
Hf (0.0000, 0.0000, 0.0000)  2 O 1.94
Ta (0.5000, 0.5000, 0.5000)  8 I 3.48, 2 Ta 3.89
I (0.0000, 0.5000, 0.0000)  2 Hf 2.88
I (0.5000, 0.0000, 0.0000)  2 Hf 2.88
O (0.0000, 0.0000, 0.5000)  2 Hf 1.94

Output
Its uncorrected formation energy is -0.07 eV/atom. As for the magnetic moment: 2.978 μB per formula unit. As for the calculated total energy: -6.0418 eV per atom. The calculation puts the polymorph energy (0 for the lowest one) at 0 meV/atom.

No. 9
First-principles (PBE) data for an optimized crystal structure of HfTaIO2, as listed in Alexandria.

a = 3.9561 Å, b = 3.9561 Å, c = 6.8899 Å
α = 90.00°, β = 90.00°, γ = 90.00°
With the nearest neighbours (Å) after each atom.
Atoms (fractional coordinates):
Hf (0.0000, 0.0000, 0.0000)  4 I 2.80
Ta (0.5000, 0.5000, 0.5000)  4 O 1.98
I (0.5000, 0.5000, 0.0000)  4 Hf 2.80
O (0.0000, 0.5000, 0.5000)  2 Ta 1.98
O (0.5000, 0.0000, 0.5000)  2 Ta 1.98

Output
Its uncorrected formation energy is -0.68 eV/atom. As for the magnetic moment: 1.269 μB per formula unit. As for the calculated total energy: -7.3312 eV per atom. The calculation puts the polymorph energy (0 for the lowest one) at 12 meV/atom.

No. 10
First-principles (PBE) data for an optimized crystal structure of HfTaI2O, as listed in Alexandria.

a = 5.7423 Å, b = 5.7423 Å, c = 3.8256 Å
α = 90.00°, β = 90.00°, γ = 90.00°
With the nearest neighbours (Å) after each atom.
Atoms (fractional coordinates):
Hf (0.0000, 0.0000, 0.0000)  8 I 3.45, 2 Hf 3.83
Ta (0.5000, 0.5000, 0.5000)  2 O 1.91
I (0.0000, 0.5000, 0.5000)  2 Ta 2.87
I (0.5000, 0.0000, 0.5000)  2 Ta 2.87
O (0.5000, 0.5000, 0.0000)  2 Ta 1.91

Output
Its uncorrected formation energy is -0.05 eV/atom. As for the magnetic moment: 0.957 μB per formula unit. As for the calculated total energy: -6.0275 eV per atom. The calculation puts the polymorph energy (0 for the lowest one) at 14 meV/atom.

No. 11
First-principles (PBE) data for an optimized crystal structure of HfTcI2O, as listed in Alexandria.

a = 5.5936 Å, b = 5.5936 Å, c = 3.7010 Å
α = 90.00°, β = 90.00°, γ = 90.00°
With the nearest neighbours (Å) after each atom.
Atoms (fractional coordinates):
Hf (0.0000, 0.0000, 0.0000)  8 I 3.35, 2 Hf 3.70
Tc (0.5000, 0.5000, 0.5000)  2 O 1.85
I (0.0000, 0.5000, 0.5000)  2 Tc 2.80
I (0.5000, 0.0000, 0.5000)  2 Tc 2.80
O (0.5000, 0.5000, 0.0000)  2 Tc 1.85

Output
Its uncorrected formation energy is 0.13 eV/atom. As for the magnetic moment: 1.425 μB per formula unit. As for the calculated total energy: -5.5436 eV per atom. The calculation puts the polymorph energy (0 for the lowest one) at 324 meV/atom.

No. 12
First-principles (PBE) data for an optimized crystal structure of HfTcI2O, as listed in Alexandria.

a = 5.8004 Å, b = 5.8004 Å, c = 3.9268 Å
α = 90.00°, β = 90.00°, γ = 90.00°
With the nearest neighbours (Å) after each atom.
Atoms (fractional coordinates):
Hf (0.0000, 0.0000, 0.0000)  2 O 1.96
Tc (0.5000, 0.5000, 0.5000)  8 I 3.50
I (0.0000, 0.5000, 0.0000)  2 Hf 2.90
I (0.5000, 0.0000, 0.0000)  2 Hf 2.90
O (0.0000, 0.0000, 0.5000)  2 Hf 1.96

Output
Its uncorrected formation energy is -0.19 eV/atom. As for the magnetic moment: 4.180 μB per formula unit. As for the calculated total energy: -5.8674 eV per atom. The calculation puts the polymorph energy (0 for the lowest one) at 0 meV/atom.

No. 13
First-principles (PBE) data for an optimized crystal structure of HfTcIO2, as listed in Alexandria.

a = 3.8892 Å, b = 3.8892 Å, c = 6.2401 Å
α = 90.00°, β = 90.00°, γ = 90.00°
With the nearest neighbours (Å) after each atom.
Atoms (fractional coordinates):
Hf (0.0000, 0.0000, 0.0000)  4 I 2.75
Tc (0.5000, 0.5000, 0.5000)  4 O 1.94
I (0.5000, 0.5000, 0.0000)  4 Hf 2.75
O (0.0000, 0.5000, 0.5000)  2 Tc 1.94
O (0.5000, 0.0000, 0.5000)  2 Tc 1.94

Output
Its uncorrected formation energy is -0.05 eV/atom. As for the magnetic moment: 0.000 μB per formula unit. As for the calculated total energy: -6.4039 eV per atom. The calculation puts the polymorph energy (0 for the lowest one) at 857 meV/atom.